# TbGdHo2 | the Alexandria database | PBE-GGA | relaxed
data_TbGdHo2
_chemical_formula_sum 'Tb4 Gd4 Ho8'
_cell_length_a 7.999
_cell_length_b 7.999
_cell_length_c 7.999
_cell_angle_alpha 90.00
_cell_angle_beta 90.00
_cell_angle_gamma 90.00
_symmetry_space_group_name_H-M 'F m -3 m'
_symmetry_Int_Tables_number 225
_symmetry_space_group_name_Hall '-F 4 2 3'
loop_
_atom_site_label
_atom_site_type_symbol
_atom_site_fract_x
_atom_site_fract_y
_atom_site_fract_z
_atom_site_occupancy
Tb1 Tb 0.000 0.000 0.000 1
Gd1 Gd 0.000 0.000 0.500 1
Ho1 Ho 0.250 0.250 0.250 1
# D(E_F): 2.07 states/eV per atom
# offset from the most stable computed form: 2.33 kcal/mol of atoms
# final energy: -27.38 eV/f.u.
# energy relative to the elements: 0.48 eV per formula unit
# size of the total moment: 34.6 μB per cell